one.
# Fe4Pd5, relaxed, DFT PBE-GGA
data_Fe4Pd5
_cell_length_a 7.509
_cell_length_b 7.509
_cell_length_c 5.285
_cell_angle_alpha 90.00
_cell_angle_beta 90.00
_cell_angle_gamma 120.00
_symmetry_space_group_name_H-M 'P 1'
_symmetry_Int_Tables_number 1
_symmetry_space_group_name_Hall 'P 1'
loop_
_atom_site_label
_atom_site_type_symbol
_atom_site_fract_x
_atom_site_fract_y
_atom_site_fract_z
_atom_site_occupancy
Fe1 Fe 0.000 0.000 0.000 1
Fe2 Fe 0.000 0.000 0.500 1
Fe3 Fe 0.000 0.330 0.250 1
Fe4 Fe 0.000 0.670 0.750 1
Fe5 Fe 0.330 0.000 0.250 1
Fe6 Fe 0.330 0.330 0.750 1
Fe7 Fe 0.670 0.000 0.750 1
Fe8 Fe 0.670 0.670 0.250 1
Pd1 Pd 0.000 0.329 0.750 1
Pd2 Pd 0.000 0.671 0.250 1
Pd3 Pd 0.329 0.000 0.750 1
Pd4 Pd 0.329 0.329 0.250 1
Pd5 Pd 0.333 0.667 0.000 1
Pd6 Pd 0.333 0.667 0.500 1
Pd7 Pd 0.667 0.333 0.000 1
Pd8 Pd 0.667 0.333 0.500 1
Pd9 Pd 0.671 0.000 0.250 1
Pd10 Pd 0.671 0.671 0.750 1
# Spin magnetization = 13.96 μB/f.u.
# Fermi-level density of states = 13.83 states/eV per cell

***

two.
# Fe4Pd5, relaxed, DFT PBE-GGA
data_Fe4Pd5
_cell_length_a 6.041
_cell_length_b 6.041
_cell_length_c 6.041
_cell_angle_alpha 95.86
_cell_angle_beta 95.86
_cell_angle_gamma 142.72
_symmetry_space_group_name_H-M 'P 1'
_symmetry_Int_Tables_number 1
_symmetry_space_group_name_Hall 'P 1'
loop_
_atom_site_label
_atom_site_type_symbol
_atom_site_fract_x
_atom_site_fract_y
_atom_site_fract_z
_atom_site_occupancy
Fe1 Fe 0.000 0.342 0.342 1
Fe2 Fe 0.000 0.658 0.658 1
Fe3 Fe 0.342 0.000 0.342 1
Fe4 Fe 0.658 0.000 0.658 1
Pd1 Pd 0.000 0.000 0.000 1
Pd2 Pd 0.330 0.330 0.661 1
Pd3 Pd 0.330 0.670 0.000 1
Pd4 Pd 0.670 0.330 0.000 1
Pd5 Pd 0.670 0.670 0.339 1
# Spin magnetization = 12.98 μB/f.u.
# Fermi-level density of states = 9.45 states/eV per cell

***

Here is how they stack up, most stable first: two, one.

***

one.
# FePd2Pt4, relaxed, DFT PBE-GGA
data_FePd2Pt4
_cell_length_a 7.132
_cell_length_b 7.132
_cell_length_c 7.132
_cell_angle_alpha 142.03
_cell_angle_beta 142.03
_cell_angle_gamma 54.78
_symmetry_space_group_name_H-M 'P 1'
_symmetry_Int_Tables_number 1
_symmetry_space_group_name_Hall 'P 1'
loop_
_atom_site_label
_atom_site_type_symbol
_atom_site_fract_x
_atom_site_fract_y
_atom_site_fract_z
_atom_site_occupancy
Fe1 Fe 0.000 0.000 0.000 1
Pd1 Pd 0.187 0.187 0.000 1
Pd2 Pd 0.813 0.813 0.000 1
Pt1 Pt 0.000 0.500 0.500 1
Pt2 Pt 0.391 0.391 0.000 1
Pt3 Pt 0.500 0.000 0.500 1
Pt4 Pt 0.609 0.609 0.000 1
# Spin magnetization = 4.07 μB/f.u.
# Fermi-level density of states = 7.66 states/eV per cell

***

two.
# FePd2Pt4, relaxed, DFT PBE-GGA
data_FePd2Pt4
_cell_length_a 5.473
_cell_length_b 5.473
_cell_length_c 3.828
_cell_angle_alpha 90.00
_cell_angle_beta 90.00
_cell_angle_gamma 91.70
_symmetry_space_group_name_H-M 'P 1'
_symmetry_Int_Tables_number 1
_symmetry_space_group_name_Hall 'P 1'
loop_
_atom_site_label
_atom_site_type_symbol
_atom_site_fract_x
_atom_site_fract_y
_atom_site_fract_z
_atom_site_occupancy
Fe1 Fe 0.000 0.000 0.000 1
Pd1 Pd 0.270 0.270 0.500 1
Pd2 Pd 0.730 0.730 0.500 1
Pt1 Pt 0.000 0.500 0.000 1
Pt2 Pt 0.234 0.766 0.500 1
Pt3 Pt 0.500 0.000 0.000 1
Pt4 Pt 0.766 0.234 0.500 1
# Spin magnetization = 4.28 μB/f.u.
# Fermi-level density of states = 7.96 states/eV per cell

***

Here is how they stack up, most stable first: two, one.

***

one.
# FePdPt3, relaxed, DFT PBE-GGA
data_FePdPt3
_cell_length_a 6.653
_cell_length_b 6.653
_cell_length_c 4.674
_cell_angle_alpha 90.00
_cell_angle_beta 90.00
_cell_angle_gamma 120.00
_symmetry_space_group_name_H-M 'P 1'
_symmetry_Int_Tables_number 1
_symmetry_space_group_name_Hall 'P 1'
loop_
_atom_site_label
_atom_site_type_symbol
_atom_site_fract_x
_atom_site_fract_y
_atom_site_fract_z
_atom_site_occupancy
Fe1 Fe 0.333 0.667 0.250 1
Fe2 Fe 0.667 0.333 0.750 1
Pd1 Pd 0.000 0.000 0.000 1
Pd2 Pd 0.000 0.000 0.500 1
Pt1 Pt 0.204 0.408 0.750 1
Pt2 Pt 0.204 0.796 0.750 1
Pt3 Pt 0.408 0.204 0.250 1
Pt4 Pt 0.592 0.796 0.750 1
Pt5 Pt 0.796 0.204 0.250 1
Pt6 Pt 0.796 0.592 0.250 1
# Spin magnetization = 4.57 μB/f.u.
# Fermi-level density of states = 11.39 states/eV per cell

***

two.
# FePdPt3, relaxed, DFT PBE-GGA
data_FePdPt3
_cell_length_a 4.547
_cell_length_b 4.547
_cell_length_c 4.547
_cell_angle_alpha 90.00
_cell_angle_beta 90.00
_cell_angle_gamma 90.00
_symmetry_space_group_name_H-M 'P 1'
_symmetry_Int_Tables_number 1
_symmetry_space_group_name_Hall 'P 1'
loop_
_atom_site_label
_atom_site_type_symbol
_atom_site_fract_x
_atom_site_fract_y
_atom_site_fract_z
_atom_site_occupancy
Fe1 Fe 0.000 0.000 0.000 1
Pd1 Pd 0.500 0.500 0.500 1
Pt1 Pt 0.000 0.000 0.500 1
Pt2 Pt 0.000 0.500 0.000 1
Pt3 Pt 0.500 0.000 0.000 1
# Spin magnetization = 3.28 μB/f.u.
# Fermi-level density of states = 3.58 states/eV per cell

***

three.
# FePdPt3, relaxed, DFT PBE-GGA
data_FePdPt3
_cell_length_a 4.797
_cell_length_b 4.797
_cell_length_c 4.797
_cell_angle_alpha 90.00
_cell_angle_beta 90.00
_cell_angle_gamma 90.00
_symmetry_space_group_name_H-M 'P 1'
_symmetry_Int_Tables_number 1
_symmetry_space_group_name_Hall 'P 1'
loop_
_atom_site_label
_atom_site_type_symbol
_atom_site_fract_x
_atom_site_fract_y
_atom_site_fract_z
_atom_site_occupancy
Fe1 Fe 0.000 0.000 0.000 1
Pd1 Pd 0.500 0.500 0.500 1
Pt1 Pt 0.000 0.500 0.500 1
Pt2 Pt 0.500 0.000 0.500 1
Pt3 Pt 0.500 0.500 0.000 1
# Spin magnetization = 0.78 μB/f.u.
# Fermi-level density of states = 16.70 states/eV per cell

***

four.
# FePdPt3, relaxed, DFT PBE-GGA
data_FePdPt3
_cell_length_a 4.780
_cell_length_b 7.298
_cell_length_c 9.303
_cell_angle_alpha 90.00
_cell_angle_beta 107.66
_cell_angle_gamma 90.00
_symmetry_space_group_name_H-M 'P 1'
_symmetry_Int_Tables_number 1
_symmetry_space_group_name_Hall 'P 1'
loop_
_atom_site_label
_atom_site_type_symbol
_atom_site_fract_x
_atom_site_fract_y
_atom_site_fract_z
_atom_site_occupancy
Fe1 Fe 0.143 0.237 0.144 1
Fe2 Fe 0.143 0.263 0.644 1
Fe3 Fe 0.857 0.737 0.356 1
Fe4 Fe 0.857 0.763 0.856 1
Pd1 Pd 0.420 0.682 0.500 1
Pd2 Pd 0.420 0.818 0.000 1
Pd3 Pd 0.580 0.182 0.000 1
Pd4 Pd 0.580 0.318 0.500 1
Pt1 Pt 0.015 0.606 0.638 1
Pt2 Pt 0.015 0.894 0.138 1
Pt3 Pt 0.202 0.033 0.424 1
Pt4 Pt 0.202 0.467 0.924 1
Pt5 Pt 0.388 0.554 0.227 1
Pt6 Pt 0.388 0.946 0.727 1
Pt7 Pt 0.612 0.054 0.273 1
Pt8 Pt 0.612 0.446 0.773 1
Pt9 Pt 0.798 0.533 0.076 1
Pt10 Pt 0.798 0.967 0.576 1
Pt11 Pt 0.985 0.106 0.862 1
Pt12 Pt 0.985 0.394 0.362 1
# Spin magnetization = 4.44 μB/f.u.
# Fermi-level density of states = 19.40 states/eV per cell

***

Here is how they stack up, most stable first: four, one, two, three.